A relaxed structure of CoTePO2. Source: the Alexandria database, functional PBE with a Hubbard U.

a b c (Å): 3.9114 3.9114 5.3890
angles (deg): 90.00 90.00 90.00
Last column: nearest neighbours and their distance in Å.
Sites, in units of the cell vectors:
P: 0.0000 0.0000 0.5000  2 Te 2.69, 4 Co 2.77
Te: 0.0000 0.0000 0.0000  4 O 1.96
Co: 0.5000 0.5000 0.5000  4 P 2.77
O: 0.0000 0.5000 0.0000  2 Te 1.96
O: 0.5000 0.0000 0.0000  2 Te 1.96

## Properties
The polymorph energy (0 for the lowest one) comes out at 0.0327 eV/atom. As for the spin magnetization: 2.4 μB per cell. As for the space group: No. 123.